[1]
NaTaPd2 | PBE-GGA | relaxed

Values from the calculation:
**DOS(E_F)**: 0.15 states/eV/atom
**Energy of formation**: 386 meV per atom
**E_tot**: -5.50 eV per atom
**Magnetization**: 0.00 μB per formula unit
**Energy above the most stable polymorph in this dataset**: 606 meV/atom

Cell: 7.2621 7.2621 5.9205 Å, 52.17 52.17 90.00°
Fractional coordinates of all 8 atoms:
Na  0.5000  0.5000  0.0000
Na  0.2500  0.7500  0.5000
Pd  0.8750  0.9061  0.7500
Pd  0.3750  0.3439  0.7500
Pd  0.0939  0.6250  0.2500
Pd  0.6561  0.1250  0.2500
Ta  0.0000  0.0000  0.0000
Ta  0.7500  0.2500  0.5000

[2]
TaNb2Fe | PBE-GGA | relaxed

Values from the calculation:
**DOS(E_F)**: 0.69 states/eV/atom
**Energy of formation**: 48 meV per atom
**E_tot**: -10.07 eV per atom
**Magnetization**: 0.00 μB per formula unit
**Energy above the most stable polymorph in this dataset**: 85 meV/atom

Cell: 4.5132 4.5132 4.5132 Å, 60.00 60.00 60.00°
Fractional coordinates of all 4 atoms:
Fe  0.0000  0.0000  0.0000
Ta  0.5000  0.5000  0.5000
Nb  0.2500  0.2500  0.2500
Nb  0.7500  0.7500  0.7500

[3]
ErPaAgSn | PBE-GGA | relaxed

Values from the calculation:
**DOS(E_F)**: 2.33 states/eV/atom
**Energy of formation**: -99 meV per atom
**E_tot**: -5.33 eV per atom
**Magnetization**: 2.06 μB per formula unit

Cell: 5.2354 5.2354 5.2354 Å, 60.00 60.00 60.00°
Site moments in Bohr magnetons follow the coordinates.
Fractional coordinates of all 4 atoms:
Pa  0.7500  0.7500  0.7500  1.24
Sn  0.0000  0.0000  0.0000  0.00
Er  0.2500  0.2500  0.2500  0.34
Ag  0.5000  0.5000  0.5000  0.03

[4]
VPb2Se2 | PBE-GGA | relaxed

Values from the calculation:
**ΔE_f (raw)**: 0.44 eV per atom
**DOS(E_F)**: 0.92 states/eV/atom
**E_tot**: -4.26 eV per atom
**Magnetization**: 3.18 μB per formula unit
**Energy above the most stable polymorph in this dataset**: 586 meV/atom

Cell: 4.1621 4.1621 8.5508 Å, 75.91 75.91 90.00°
Site moments in Bohr magnetons follow the coordinates.
Fractional coordinates of all 5 atoms:
Se  0.5850  0.5850  0.8301  -0.11
Se  0.4150  0.4150  0.1699  -0.11
Pb  0.7500  0.2500  0.5000  0.01
Pb  0.2500  0.7500  0.5000  0.01
V  0.0000  0.0000  0.0000  2.89

[5]
Ce5Pu2Zn | PBE-GGA | relaxed

Values from the calculation:
**DOS(E_F)**: 2.54 states/eV/atom
**Energy of formation**: -3 meV per atom
**E_tot**: -7.45 eV per atom
**Magnetization**: 11.28 μB per formula unit

Cell: 6.4769 6.4790 6.4778 Å, 118.55 118.53 92.54°
Site moments in Bohr magnetons follow the coordinates.
Fractional coordinates of all 8 atoms:
Ce  0.2783  0.7777  0.0000  0.14
Ce  0.2776  0.2776  0.0000  -0.26
Ce  0.7777  0.2782  0.0000  0.14
Ce  0.2783  0.2782  0.5005  0.14
Ce  0.7777  0.7777  0.4995  0.14
Zn  0.7784  0.7784  0.0000  0.01
Pu  0.2776  0.7776  0.5002  5.23
Pu  0.7775  0.2776  0.4998  5.23

[6]
ScSi4Pb | PBE-GGA | relaxed

Values from the calculation:
**ΔE_f (raw)**: 0.13 eV per atom
**DOS(E_F)**: 0.81 states/eV/atom
**E_tot**: -5.15 eV per atom
**Magnetization**: 0.00 μB per formula unit

Cell: 5.3080 5.3080 5.3080 Å, 60.00 60.00 60.00°
Fractional coordinates of all 6 atoms:
Si  0.8742  0.3753  0.3753
Si  0.3753  0.3753  0.3753
Si  0.3753  0.3753  0.8742
Si  0.3753  0.8742  0.3753
Sc  0.0000  0.0000  0.0000
Pb  0.7500  0.7500  0.7500

[7]
K2BO | PBE-GGA | relaxed

Values from the calculation:
**ΔE_f (raw)**: 0.05 eV per atom
**DOS(E_F)**: 1.01 states/eV/atom
**E_tot**: -3.41 eV per atom
**Magnetization**: 0.00 μB per formula unit
**Energy above the most stable polymorph in this dataset**: 0 meV/atom

Cell: 11.5337 11.5337 8.3008 Å, 45.99 45.99 90.00°
Fractional coordinates of all 8 atoms:
K  0.3750  0.1616  0.7500
K  0.8750  0.0884  0.7500
K  0.9116  0.6250  0.2500
K  0.8384  0.1250  0.2500
O  0.0000  0.0000  0.0000
O  0.7500  0.2500  0.5000
B  0.2500  0.7500  0.5000
B  0.5000  0.5000  0.0000

[8]
BaLuHg2 | PBE-GGA | relaxed

Values from the calculation:
**DOS(E_F)**: 1.27 states/eV/atom
**Energy of formation**: -346 meV per atom
**E_tot**: -2.11 eV per atom
**Magnetization**: 0.00 μB per formula unit

Cell: 5.1294 5.1294 6.5572 Å, 66.98 66.98 60.00°
Fractional coordinates of all 4 atoms:
Hg  0.7917  0.7917  0.6250
Hg  0.2083  0.2083  0.3750
Lu  0.5000  0.5000  0.5000
Ba  0.0000  0.0000  0.0000

[9]
DyPuRu | PBE-GGA | relaxed

Values from the calculation:
**DOS(E_F)**: 3.37 states/eV/atom
**Energy of formation**: -35 meV per atom
**E_tot**: -9.44 eV per atom
**Magnetization**: 5.10 μB per formula unit
**Energy above the most stable polymorph in this dataset**: 159 meV/atom

Cell: 4.7477 4.7477 4.7477 Å, 60.00 60.00 60.00°
Site moments in Bohr magnetons follow the coordinates.
Fractional coordinates of all 3 atoms:
Pu  0.0000  0.0000  0.0000  5.17
Dy  0.5000  0.5000  0.5000  0.14
Ru  0.2500  0.2500  0.2500  -0.43

[10]
LaCrFe | PBE-GGA | relaxed

Values from the calculation:
**DOS(E_F)**: 1.60 states/eV/atom
**Energy of formation**: 687 meV per atom
**E_tot**: -6.98 eV per atom
**Magnetization**: 2.44 μB per formula unit
**Energy above the most stable polymorph in this dataset**: 360 meV/atom

Cell: 4.5054 4.5054 4.5054 Å, 60.00 60.00 60.00°
Site moments in Bohr magnetons follow the coordinates.
Fractional coordinates of all 3 atoms:
Cr  0.5000  0.5000  0.5000  3.31
Fe  0.7500  0.7500  0.7500  -1.39
La  0.0000  0.0000  0.0000  0.07

[11]
TcRu | PBE-GGA | relaxed

Values from the calculation:
**DOS(E_F)**: 0.59 states/eV/atom
**Energy of formation**: -39 meV per atom
**E_tot**: -9.86 eV per atom
**Magnetization**: 0.00 μB per formula unit
**Energy above the most stable polymorph in this dataset**: 28 meV/atom

Cell: 2.7402 8.7341 2.7402 Å, 90.00 120.00 90.00°
Fractional coordinates of all 4 atoms:
Tc  0.0000  0.4970  0.0000
Tc  0.6667  0.7530  0.3333
Ru  0.6667  0.2493  0.3333
Ru  0.0000  0.0007  0.0000

[12]
CaGdLuMg | PBE-GGA | relaxed

Values from the calculation:
**DOS(E_F)**: 0.80 states/eV/atom
**Energy of formation**: 80 meV per atom
**E_tot**: -5.47 eV per atom
**Magnetization**: 7.20 μB per formula unit

Cell: 5.5763 5.5763 5.5763 Å, 60.00 60.00 60.00°
Site moments in Bohr magnetons follow the coordinates.
Fractional coordinates of all 4 atoms:
Lu  0.2500  0.2500  0.2500  -0.01
Ca  0.0000  0.0000  0.0000  -0.01
Mg  0.7500  0.7500  0.7500  -0.01
Gd  0.5000  0.5000  0.5000  7.12

[13]
Li6Ga2Pt | PBE-GGA | relaxed

Values from the calculation:
**DOS(E_F)**: 0.36 states/eV/atom
**Energy of formation**: -302 meV per atom
**E_tot**: -2.92 eV per atom
**Magnetization**: 0.00 μB per formula unit
**Energy above the most stable polymorph in this dataset**: 84 meV/atom

Cell: 2.7681 7.5140 7.5140 Å, 104.82 90.03 90.03°
Fractional coordinates of all 9 atoms:
Li  0.5015  0.6923  0.0152
Li  0.4985  0.3077  0.9848
Li  0.5000  0.3838  0.6162
Li  0.5015  0.0152  0.6923
Li  0.5000  0.6162  0.3838
Li  0.4985  0.9848  0.3077
Ga  0.0007  0.7149  0.7149
Ga  0.9993  0.2851  0.2851
Pt  0.0000  0.0000  0.0000

[14]
CaAl2Te | PBE-GGA | relaxed

Values from the calculation:
**ΔE_f (raw)**: -0.11 eV per atom
**DOS(E_F)**: 0.60 states/eV/atom
**E_tot**: -3.27 eV per atom
**Magnetization**: 0.00 μB per formula unit

Cell: 5.1965 5.1965 5.1965 Å, 60.00 60.00 60.00°
Fractional coordinates of all 4 atoms:
Al  0.0000  0.0000  0.0000
Al  0.2500  0.2500  0.2500
Te  0.7500  0.7500  0.7500
Ca  0.5000  0.5000  0.5000

[15]
YTa2Tc | PBE-GGA | relaxed

Values from the calculation:
**DOS(E_F)**: 1.07 states/eV/atom
**Energy of formation**: 173 meV per atom
**E_tot**: -9.96 eV per atom
**Magnetization**: 0.00 μB per formula unit
**Energy above the most stable polymorph in this dataset**: 131 meV/atom

Cell: 2.9683 2.9683 9.4592 Å, 90.00 90.00 112.15°
Fractional coordinates of all 4 atoms:
Ta  0.5000  0.5000  0.2666
Ta  0.0000  0.0000  0.0244
Y  0.5000  0.5000  0.7300
Tc  0.0000  0.0000  0.4790

[16]
MnZn3Cu2 | PBE-GGA | relaxed

Values from the calculation:
**DOS(E_F)**: 0.42 states/eV/atom
**Energy of formation**: 83 meV per atom
**E_tot**: -3.45 eV per atom
**Magnetization**: 3.73 μB per formula unit

Cell: 4.7916 5.4396 7.0356 Å, 112.74 90.00 90.00°
Site moments in Bohr magnetons follow the coordinates.
Fractional coordinates of all 12 atoms:
Cu  0.0000  0.7437  0.0000  0.05
Cu  0.5000  0.2563  0.0000  0.05
Cu  0.0000  0.2563  0.0000  0.05
Cu  0.5000  0.7437  0.0000  0.05
Zn  0.2500  0.0781  0.6504  -0.01
Zn  0.7500  0.8569  0.7138  -0.02
Zn  0.7500  0.4277  0.3496  -0.01
Zn  0.2500  0.1431  0.2862  -0.02
Zn  0.7500  0.9219  0.3496  -0.01
Zn  0.2500  0.5723  0.6504  -0.01
Mn  0.7500  0.3495  0.6990  3.49
Mn  0.2500  0.6505  0.3010  3.49

[17]
Cr2RuCl | PBE-GGA | relaxed

Values from the calculation:
**ΔE_f (raw)**: 0.63 eV per atom
**DOS(E_F)**: 1.09 states/eV/atom
**E_tot**: -6.96 eV per atom
**Magnetization**: 6.42 μB per formula unit
**Energy above the most stable polymorph in this dataset**: 430 meV/atom

Cell: 6.8132 4.6693 2.8830 Å, 83.40 74.60 130.36°
Site moments in Bohr magnetons follow the coordinates.
Fractional coordinates of all 4 atoms:
Ru  0.0000  0.5000  0.5000  -0.63
Cr  0.5000  0.0000  0.5000  3.22
Cr  0.0000  0.0000  0.0000  3.22
Cl  0.5000  0.5000  0.0000  0.01

[18]
RbAlIn2Br6 | PBE-GGA | relaxed

Values from the calculation:
**ΔE_f (raw)**: -1.00 eV per atom
**DOS(E_F)**: 0.00 states/eV/atom
**E_tot**: -3.02 eV per atom
**Magnetization**: 0.00 μB per formula unit

Cell: 6.9838 7.7222 7.7222 Å, 90.00 90.00 90.00°
Fractional coordinates of all 10 atoms:
Br  0.3029  0.0000  0.0000
Br  0.7349  0.2189  0.7811
Br  0.0567  0.5000  0.5000
Br  0.7349  0.7811  0.7811
Br  0.7349  0.2189  0.2189
Br  0.7349  0.7811  0.2189
Rb  0.5220  0.5000  0.5000
Al  0.6369  0.0000  0.0000
In  0.9943  0.0000  0.5000
In  0.9943  0.5000  0.0000

[19]
RuPtSe2 | PBE-GGA | relaxed

Values from the calculation:
**ΔE_f (raw)**: 0.07 eV per atom
**DOS(E_F)**: 1.18 states/eV/atom
**E_tot**: -5.51 eV per atom
**Magnetization**: 0.00 μB per formula unit
**Energy above the most stable polymorph in this dataset**: 144 meV/atom

Cell: 7.9494 7.9494 7.9494 Å, 25.29 25.29 25.29°
Fractional coordinates of all 4 atoms:
Pt  0.0000  0.0000  0.0000
Se  0.8964  0.8964  0.8964
Se  0.1036  0.1036  0.1036
Ru  0.5000  0.5000  0.5000

[20]
TmHfCdTc | PBE-GGA | relaxed

Values from the calculation:
**DOS(E_F)**: 0.82 states/eV/atom
**Energy of formation**: -128 meV per atom
**E_tot**: -6.55 eV per atom
**Magnetization**: 0.00 μB per formula unit

Cell: 4.8668 4.8668 4.8668 Å, 60.00 60.00 60.00°
Fractional coordinates of all 4 atoms:
Tc  0.2500  0.2500  0.2500
Cd  0.7500  0.7500  0.7500
Tm  0.5000  0.5000  0.5000
Hf  0.0000  0.0000  0.0000

[21]
TlRuRh2 | PBE-GGA | relaxed

Values from the calculation:
**DOS(E_F)**: 0.95 states/eV/atom
**Energy of formation**: 266 meV per atom
**E_tot**: -6.32 eV per atom
**Magnetization**: 0.00 μB per formula unit
**Energy above the most stable polymorph in this dataset**: 52 meV/atom

Cell: 4.8166 4.8166 4.9571 Å, 80.25 80.25 34.72°
Fractional coordinates of all 4 atoms:
Tl  0.2494  0.2494  0.2398
Rh  0.0060  0.0060  0.9848
Rh  0.7529  0.7529  0.7329
Ru  0.4916  0.4916  0.5425

[22]
Mn4V2Ga3 | PBE-GGA | relaxed

Values from the calculation:
**DOS(E_F)**: 0.63 states/eV/atom
**Energy of formation**: -138 meV per atom
**E_tot**: -7.25 eV per atom
**Magnetization**: 1.18 μB per formula unit

Cell: 4.1568 4.1540 7.4781 Å, 90.05 90.00 59.98°
Site moments in Bohr magnetons follow the coordinates.
Fractional coordinates of all 9 atoms:
V  0.6664  0.6671  0.2121  -0.43
V  0.3336  0.3329  0.7879  -0.43
Mn  0.6667  0.6665  0.8945  0.90
Mn  0.0003  0.9995  0.6523  0.14
Mn  0.3333  0.3335  0.1055  0.90
Mn  0.9997  0.0005  0.3477  0.14
Ga  0.0000  0.0000  0.0000  -0.01
Ga  0.3332  0.3336  0.4320  -0.01
Ga  0.6668  0.6664  0.5680  -0.01

[23]
Pr3PuRh3 | PBE-GGA | relaxed

Values from the calculation:
**DOS(E_F)**: 1.60 states/eV/atom
**Energy of formation**: -526 meV per atom
**E_tot**: -7.77 eV per atom
**Magnetization**: 5.38 μB per formula unit
**Energy above the most stable polymorph in this dataset**: 0 meV/atom

Cell: 4.1688 6.3895 13.8620 Å, 85.76 81.35 70.96°
Site moments in Bohr magnetons follow the coordinates.
Fractional coordinates of all 14 atoms:
Rh  0.1206  0.8273  0.9315  0.01
Rh  0.0346  0.1566  0.7742  -0.08
Rh  0.1220  0.3023  0.4537  -0.23
Rh  0.8794  0.1727  0.0685  0.01
Rh  0.8780  0.6977  0.5463  -0.23
Rh  0.9654  0.8434  0.2258  -0.08
Pr  0.3930  0.2877  0.9263  0.03
Pr  0.6070  0.7123  0.0737  0.03
Pr  0.5089  0.6208  0.3613  0.10
Pr  0.7243  0.7601  0.7912  0.04
Pr  0.2757  0.2399  0.2088  0.04
Pr  0.4911  0.3792  0.6387  0.10
Pu  0.2225  0.9574  0.5977  5.07
Pu  0.7775  0.0426  0.4023  5.07

[24]
Nd2In2Se5 | PBE-GGA | relaxed

Values from the calculation:
**ΔE_f (raw)**: -1.09 eV per atom
**DOS(E_F)**: 0.52 states/eV/atom
**E_tot**: -4.69 eV per atom
**Magnetization**: 0.00 μB per formula unit

Cell: 4.7624 8.5171 9.2688 Å, 128.40 90.00 106.23°
Fractional coordinates of all 9 atoms:
Se  0.0000  0.0000  0.0000
Se  0.1455  0.2909  0.4996
Se  0.8545  0.7091  0.5004
Se  0.6232  0.2463  0.9268
Se  0.3768  0.7537  0.0732
Nd  0.3811  0.7623  0.7403
Nd  0.6189  0.2377  0.2597
In  0.1359  0.2718  0.7926
In  0.8641  0.7282  0.2074

[25]
GaFeSb2 | PBE-GGA | relaxed

Values from the calculation:
**ΔE_f (raw)**: 0.53 eV per atom
**DOS(E_F)**: 0.93 states/eV/atom
**E_tot**: -4.40 eV per atom
**Magnetization**: 2.91 μB per formula unit

Cell: 3.1262 3.1262 11.1261 Å, 81.92 81.92 60.00°
Site moments in Bohr magnetons follow the coordinates.
Fractional coordinates of all 4 atoms:
Fe  0.0000  0.0000  0.0000  2.95
Ga  0.5000  0.5000  0.5000  0.00
Sb  0.9197  0.9197  0.2409  -0.02
Sb  0.0803  0.0803  0.7591  -0.02

[26]
Ag2Hg2F7 | PBE-GGA | relaxed

Values from the calculation:
**ΔE_f (raw)**: -1.22 eV per atom
**DOS(E_F)**: 0.39 states/eV/atom
**E_tot**: -2.98 eV per atom
**Magnetization**: 1.05 μB per formula unit

Cell: 5.6749 5.7390 5.6749 Å, 94.30 91.75 85.70°
Site moments in Bohr magnetons follow the coordinates.
Fractional coordinates of all 11 atoms:
F  0.5271  0.7368  0.9766  0.08
F  0.0234  0.7368  0.4729  0.08
F  0.9766  0.2632  0.5271  0.08
F  0.5204  0.7546  0.4796  0.03
F  0.4729  0.2632  0.0234  0.08
F  0.4796  0.2454  0.5204  0.03
F  0.0000  0.0000  0.0000  0.00
Ag  0.2554  0.5000  0.2554  0.32
Ag  0.7446  0.5000  0.7446  0.32
Hg  0.7274  0.0009  0.2726  0.00
Hg  0.2726  0.9991  0.7274  0.00

[27]
CdTeRh2Cl | PBE-GGA | relaxed

Values from the calculation:
**ΔE_f (raw)**: 0.65 eV per atom
**DOS(E_F)**: 1.74 states/eV/atom
**E_tot**: -3.47 eV per atom
**Magnetization**: 0.76 μB per formula unit

Cell: 4.9147 5.6581 4.9147 Å, 90.00 90.00 90.00°
Site moments in Bohr magnetons follow the coordinates.
Fractional coordinates of all 5 atoms:
Cd  0.0000  0.5000  0.0000  -0.01
Cl  0.5000  0.5000  0.5000  0.05
Rh  0.5000  0.0000  0.0000  0.30
Rh  0.0000  0.0000  0.5000  0.34
Te  0.0000  0.0000  0.0000  0.00